(1)
This record from the Alexandria database describes a PBEsol-optimized structure of La3RuAu. The functional is meta-GGA SCAN.

a = 14.184 Å, b = 4.002 Å, c = 9.990 Å
α = 90.00°, β = 106.67°, γ = 90.00°
Space group C2/m (No. 12)
Unique sites:
La (0.086, 0.000, 0.170) [4 per cell]
La (0.119, 0.500, 0.486) [4 per cell]
La (0.142, 0.500, 0.866) [4 per cell]
Ru (0.023, 0.000, 0.672) [4 per cell]
Au (0.244, 0.000, 0.717) [4 per cell]

Results
Fermi-level density of states = 0.628 states/eV per atom
energy relative to the elements = -0.609 eV per atom



(2)
This record from the Alexandria database describes a PBEsol-optimized structure of Co2SiNi. The functional is meta-GGA SCAN.

a = 3.566 Å, b = 3.566 Å, c = 6.469 Å
α = 90.00°, β = 90.00°, γ = 90.00°
Space group I4/mmm (No. 139)
Unique sites:
Co (0.000, 0.500, 0.250) [4 per cell]
Si (0.000, 0.000, 0.000) [2 per cell]
Ni (0.000, 0.000, 0.500) [2 per cell]

Results
Fermi-level density of states = 0.578 states/eV per atom
formation energy without anion corrections = -242 meV/atom



(3)
This record from the Alexandria database describes a PBEsol-optimized structure of CdHg2P2. The functional is meta-GGA SCAN.

a = 4.921 Å, b = 4.921 Å, c = 8.945 Å
α = 90.00°, β = 90.00°, γ = 90.00°
Space group I4/mmm (No. 139)
Unique sites:
Cd (0.000, 0.000, 0.000) [2 per cell]
Hg (0.000, 0.500, 0.250) [4 per cell]
P (0.000, 0.000, 0.379) [4 per cell]

Results
Fermi-level density of states = 0.484 states/eV per atom
energy relative to the elements = 0.352 eV per atom